(1)
Material: MnTcRu
Method: DFT, PBE
State: relaxed

Lattice parameters (Å, degrees): 5.645 5.645 5.645 90.00 90.00 90.00
Space group F-43m (No. 216)
Symmetry-distinct sites (fractional):
Mn  0.000  0.000  0.000
Tc  0.250  0.250  0.750
Ru  0.250  0.250  0.250

As for the size of the total moment: 0.002 μB per atom. Its offset from the most stable computed form is 462 meV/atom. The crystal system is cubic. The calculated formation energy is 0.545 eV/atom.



(2)
Material: BaMgRu
Method: DFT, PBE
State: relaxed

Lattice parameters (Å, degrees): 4.6090 4.6090 4.5776 90.00 90.00 120.00
Space group P-6m2 (No. 187)
Symmetry-distinct sites (fractional):
Ba  0.0000  0.0000  0.0000
Mg  0.6667  0.3333  0.5000
Ru  0.3333  0.6667  0.5000

As for the size of the total moment: 0.000 μB per atom. The crystal system is hexagonal. The calculated formation energy is 0.459 eV/atom.



(3)
Material: GdInSn4
Method: DFT, PBE
State: relaxed

Lattice parameters (Å, degrees): 8.768 8.768 8.768 90.00 90.00 90.00
Space group F-43m (No. 216)
Symmetry-distinct sites (fractional):
Gd  0.000  0.000  0.000
In  0.250  0.250  0.250
Sn  0.125  0.125  0.625

As for the size of the total moment: 1.210 μB per atom. The crystal system is cubic. The calculated formation energy is -0.163 eV/atom.



(4)
Material: Y2ThHg3
Method: DFT, PBE
State: relaxed

Lattice parameters (Å, degrees): 3.692 3.692 11.667 90.00 90.00 90.00
Space group P4/mmm (No. 123)
Symmetry-distinct sites (fractional):
Y  0.000  0.000  0.161
Th  0.000  0.000  0.500
Hg  0.500  0.500  0.000
Hg  0.500  0.500  0.318

As for the size of the total moment: 0.031 μB per atom. The crystal system is tetragonal. The calculated formation energy is -0.402 eV/atom.



Please write out number 1 again, unchanged.
Material: MnTcRu
Method: DFT, PBE
State: relaxed

Lattice parameters (Å, degrees): 5.645 5.645 5.645 90.00 90.00 90.00
Space group F-43m (No. 216)
Symmetry-distinct sites (fractional):
Mn  0.000  0.000  0.000
Tc  0.250  0.250  0.750
Ru  0.250  0.250  0.250

As for the size of the total moment: 0.002 μB per atom. Its offset from the most stable computed form is 462 meV/atom. The crystal system is cubic. The calculated formation energy is 0.545 eV/atom.